No. 1
This record from Alexandria via LeMat-Bulk describes a geometry-optimized Pm2Pr4ErSc structure. The functional is PBE.

Lattice parameters (Å, degrees): 5.131 5.158 10.094 90.00 90.00 90.00
Fractional coordinates of all 8 atoms:
Pm 0.000 0.000 0.000
Pm 0.500 0.500 0.500
Pr 0.000 0.500 0.246
Pr 0.000 0.500 0.754
Pr 0.500 0.000 0.246
Pr 0.500 0.000 0.754
Er 0.000 0.000 0.500
Sc 0.500 0.500 0.000

Values from the calculation:
Fermi-level density of states = 11.2 states/eV per cell
Formation enthalpy at 0 K = 0.029 eV per atom
Space group = Pmmm
Calculated density = 6.6 g/cm³

No. 2
This record from Alexandria via LeMat-Bulk describes a geometry-optimized GaAuS structure. The functional is PBE.

Lattice parameters (Å, degrees): 3.602 5.475 6.717 74.05 89.95 89.93
Fractional coordinates of all 6 atoms:
Ga 0.249 0.309 0.216
Ga 0.751 0.691 0.784
Au 0.249 0.077 0.630
Au 0.751 0.923 0.370
S 0.251 0.375 0.837
S 0.749 0.625 0.163

Values from the calculation:
Energy relative to the elements, uncorrected = -0.28 eV per atom
Fermi-level density of states = 0.8 states/eV per cell
Polymorph energy (0 for the lowest one) = 0.049 eV/atom
Space group = P-1
Calculated density = 7.8 g/cm³

No. 3
This record from Alexandria via LeMat-Bulk describes a geometry-optimized K2HfAs2 structure. The functional is PBE.

Lattice parameters (Å, degrees): 9.150 9.150 3.082 90.00 90.00 90.00
Fractional coordinates of all 10 atoms:
K 0.109 0.391 0.000
K 0.391 0.891 0.000
K 0.609 0.109 0.000
K 0.891 0.609 0.000
Hf 0.000 0.000 0.000
Hf 0.500 0.500 0.000
As 0.190 0.690 0.500
As 0.310 0.190 0.500
As 0.690 0.810 0.500
As 0.810 0.310 0.500

Values from the calculation:
Fermi-level density of states = 7.0 states/eV per cell
Polymorph energy (0 for the lowest one) = 0.000 eV/atom
Formation enthalpy at 0 K = 0.396 eV per atom
Space group = P4/mbm
Calculated density = 5.2 g/cm³